a.
VASP calculation (PBE) on a relaxed structure of RbSnTe3Au.

Cell lengths 8.4600, 8.4600, 11.9281 Å; angles 90.00, 90.00, 151.51 degrees
With the nearest neighbours (Å) after each atom.
Positions (direct):
1 Rb 0.2430 0.7570 0.7500  2 Au 3.65, 8 Te 3.84-3.89
2 Rb 0.7570 0.2430 0.2500  2 Au 3.65, 8 Te 3.84-3.89
3 Sn 0.5000 0.5000 0.0000  6 Te 3.02-3.08
4 Sn 0.5000 0.5000 0.5000  6 Te 3.02-3.08
5 Te 0.1313 0.8687 0.0355  1 Au 2.73, 2 Sn 3.02
6 Te 0.1313 0.8687 0.4645  1 Au 2.73, 2 Sn 3.02
7 Te 0.4542 0.5458 0.2500  2 Au 2.86, 2 Sn 3.08
8 Te 0.5458 0.4542 0.7500  2 Au 2.86, 2 Sn 3.08
9 Te 0.8687 0.1313 0.5355  1 Au 2.73, 2 Sn 3.02
10 Te 0.8687 0.1313 0.9645  1 Au 2.73, 2 Sn 3.02
11 Au 0.0740 0.9260 0.2500  4 Te 2.73-2.86
12 Au 0.9260 0.0740 0.7500  4 Te 2.73-2.86

b.
VASP calculation (PBE) on a relaxed structure of RbSnTe3Au.

Cell lengths 14.3762, 4.6842, 12.3648 Å; angles 90.00, 90.00, 90.00 degrees
With the nearest neighbours (Å) after each atom.
Positions (direct):
1 Rb 0.1603 0.2500 0.0014  3 Au 3.69-3.85, 8 Te 3.72-3.97
2 Rb 0.3397 0.7500 0.5014  3 Au 3.69-3.85, 8 Te 3.72-3.97
3 Rb 0.6603 0.2500 0.4986  3 Au 3.69-3.85, 8 Te 3.72-3.97
4 Rb 0.8397 0.7500 0.9986  3 Au 3.69-3.85, 8 Te 3.72-3.97
5 Sn 0.0173 0.7500 0.6465  6 Te 2.89-3.18
6 Sn 0.4827 0.2500 0.1465  6 Te 2.89-3.18
7 Sn 0.5173 0.7500 0.8535  6 Te 2.89-3.18
8 Sn 0.9827 0.2500 0.3535  6 Te 2.89-3.18
9 Te 0.0446 0.7500 0.2098  1 Au 2.70
10 Te 0.1226 0.2500 0.5226  3 Sn 2.90-3.18, 1 Au 3.17
11 Te 0.1883 0.7500 0.7698  2 Au 2.69, 1 Sn 2.89
12 Te 0.3117 0.2500 0.2698  2 Au 2.69, 1 Sn 2.89
13 Te 0.3774 0.7500 0.0226  3 Sn 2.90-3.18, 1 Au 3.17
14 Te 0.4554 0.2500 0.7098  1 Au 2.70
15 Te 0.5446 0.7500 0.2902  1 Au 2.70
16 Te 0.6226 0.2500 0.9774  3 Sn 2.90-3.18, 1 Au 3.17
17 Te 0.6883 0.7500 0.7302  2 Au 2.69, 1 Sn 2.89
18 Te 0.8117 0.2500 0.2302  2 Au 2.69, 1 Sn 2.89
19 Te 0.8774 0.7500 0.4774  3 Sn 2.90-3.18, 1 Au 3.17
20 Te 0.9554 0.2500 0.7902  1 Au 2.70
21 Au 0.2324 0.7500 0.2158  3 Te 2.69-2.70
22 Au 0.2676 0.2500 0.7158  3 Te 2.69-2.70
23 Au 0.7324 0.7500 0.2842  3 Te 2.69-2.70
24 Au 0.7676 0.2500 0.7842  3 Te 2.69-2.70

c.
VASP calculation (PBE) on a relaxed structure of RbSnTe3Au.

Cell lengths 9.2324, 4.4419, 11.0112 Å; angles 90.00, 109.19, 90.00 degrees
With the nearest neighbours (Å) after each atom.
Positions (direct):
1 Rb 0.2402 0.2500 0.3024  6 Te 3.72-3.75, 3 Au 3.94-4.10
2 Rb 0.7598 0.7500 0.6976  6 Te 3.72-3.75, 3 Au 3.94-4.10
3 Sn 0.3234 0.7500 0.8646  6 Te 2.91-3.09
4 Sn 0.6766 0.2500 0.1354  6 Te 2.91-3.09
5 Te 0.0980 0.2500 0.8510  1 Au 2.77, 2 Sn 3.01
6 Te 0.2511 0.7500 0.5800  3 Au 2.77-2.93, 1 Sn 2.98
7 Te 0.4479 0.7500 0.1443  3 Sn 2.91-3.09
8 Te 0.5521 0.2500 0.8557  3 Sn 2.91-3.09
9 Te 0.7489 0.2500 0.4200  3 Au 2.77-2.93, 1 Sn 2.98
10 Te 0.9020 0.7500 0.1490  1 Au 2.77, 2 Sn 3.01
11 Au 0.0472 0.2500 0.5891  4 Te 2.77-2.93, 2 Au 2.90
12 Au 0.9528 0.7500 0.4109  4 Te 2.77-2.93, 2 Au 2.90

It is b that is the most stable of them.